Entry 1:
The following is a DFT calculation (PBE) of Zr4B15Ir12 after structural relaxation.

N(E_F), states/eV/atom: 0.1841
VASP energy, eV per cell: -257.2
Calculated formation energy, eV/atom: -0.533
Space-group type: No. 2

Cell: 3.548 7.588 13.159 Å, 90.05 90.05 90.05°
Fractional coordinates of all 31 atoms:
B  0.774  0.921  0.475
B  0.239  0.673  0.278
B  0.754  0.750  0.800
Ir  0.737  0.592  0.663
B  0.000  0.000  0.000
B  0.500  0.000  0.000
Ir  0.270  0.790  0.535
Ir  0.259  0.300  0.628
Zr  0.746  0.999  0.665
Ir  0.751  0.707  0.963
Ir  0.253  0.800  0.128
Zr  0.254  0.001  0.335
B  0.226  0.079  0.525
Ir  0.263  0.408  0.337
B  0.244  0.173  0.775
Zr  0.749  0.500  0.169
B  0.756  0.827  0.225
B  0.251  0.577  0.026
Zr  0.251  0.500  0.831
Ir  0.251  0.908  0.835
Ir  0.741  0.700  0.372
B  0.764  0.252  0.304
Ir  0.747  0.200  0.872
B  0.236  0.748  0.696
Ir  0.249  0.293  0.037
B  0.761  0.327  0.722
Ir  0.749  0.092  0.165
B  0.500  0.500  0.500
B  0.246  0.250  0.200
B  0.749  0.423  0.974
Ir  0.730  0.210  0.465


Entry 2:
The following is a DFT calculation (PBE) of KAl2TcPd after structural relaxation.

N(E_F), states/eV/atom: 0.3787
VASP energy, eV per cell: -13.0
Calculated formation energy, eV/atom: 2.236
Space-group type: No. 123

Cell: 5.033 4.434 5.033 Å, 90.00 90.00 90.00°
Fractional coordinates of all 5 atoms:
Tc  0.000  0.500  0.000
Al  0.500  0.000  0.000
Pd  0.500  0.500  0.500
K  0.000  0.000  0.000
Al  0.000  0.000  0.500


Entry 3:
The following is a DFT calculation (PBE) of TbPm3Ho6Er2 after structural relaxation.

N(E_F), states/eV/atom: 1.3032
VASP energy, eV per cell: -55.3
Calculated formation energy, eV/atom: 0.018
Space-group type: No. 12

Cell: 6.159 6.159 11.760 Å, 94.99 94.99 119.97°
Fractional coordinates of all 12 atoms:
Ho  0.917  0.584  0.753
Er  0.667  0.333  0.000
Pm  0.833  0.167  0.500
Ho  0.749  0.749  0.247
Ho  0.584  0.917  0.753
Pm  0.500  0.500  0.500
Pm  0.167  0.833  0.500
Ho  0.251  0.251  0.753
Tb  0.000  0.000  0.000
Ho  0.083  0.416  0.247
Ho  0.416  0.083  0.247
Er  0.333  0.667  0.000


Entry 4:
The following is a DFT calculation (PBE) of TmSiC after structural relaxation.

N(E_F), states/eV/atom: 0.1946
VASP energy, eV per cell: -40.8
Formation energy (no corrections), eV/f.u.: -1.27
Space-group type: No. 2

Cell: 5.059 3.570 12.315 Å, 125.07 90.03 135.25°
Fractional coordinates of all 6 atoms:
Si  0.608  0.213  0.428
Tm  0.422  0.845  0.836
Si  0.392  0.787  0.572
C  0.096  0.190  0.172
Tm  0.578  0.155  0.164
C  0.904  0.810  0.828


Entry 5:
The following is a DFT calculation (PBE) of Tl2Cd2C after structural relaxation.

N(E_F), states/eV/atom: 0.4011
VASP energy, eV per cell: -23.4
Relative energy among the computed polymorphs, eV per atom: 0.000
Calculated formation energy, eV/atom: 0.814
Space-group type: No. 127

Cell: 6.277 6.277 6.533 Å, 90.00 90.00 90.00°
Fractional coordinates of all 10 atoms:
Cd  0.761  0.739  0.000
Cd  0.239  0.261  0.000
Cd  0.739  0.239  0.000
Tl  0.690  0.810  0.500
C  0.500  0.500  0.000
C  0.000  0.000  0.000
Cd  0.261  0.761  0.000
Tl  0.190  0.690  0.500
Tl  0.310  0.190  0.500
Tl  0.810  0.310  0.500


Entry 6:
The following is a DFT calculation (PBE) of Pm2Sm3Ho7 after structural relaxation.

N(E_F), states/eV/atom: 1.2255
VASP energy, eV per cell: -54.7
Relative energy among the computed polymorphs, eV per atom: 0.000
Calculated formation energy, eV/atom: 0.087
Space-group type: No. 10

Cell: 3.576 5.821 18.801 Å, 93.28 90.00 90.00°
Fractional coordinates of all 12 atoms:
Sm  0.500  0.500  0.000
Sm  0.000  0.777  0.632
Ho  0.000  0.311  0.858
Ho  0.500  0.809  0.827
Sm  0.000  0.223  0.368
Ho  0.500  0.258  0.538
Ho  0.500  0.191  0.173
Ho  0.000  0.000  0.000
Pm  0.500  0.710  0.293
Pm  0.500  0.290  0.707
Ho  0.500  0.742  0.462
Ho  0.000  0.689  0.142